This record from the Alexandria database describes Cr2FeP after structural relaxation. The functional is PBE-GGA.

abc: 4.579 4.579 4.579
angles: 141.66 132.24 62.84
Last column: magnetic moment on the atom in μB.
Element x y z (fractional)
1 Cr 0.993 0.993 0.000  -0.07
2 Cr 0.507 0.507 0.000  -0.07
3 Fe 0.250 0.750 0.500  0.72
4 P 0.750 0.250 0.500  -0.01

* magnetic moment: 0.14 μB per atom
* DOS(E_F): 2.3 states/eV per cell
* energy: -8.48 eV/atom
* ΔH_f (0 K): -0.203 eV/atom


This record from the Alexandria database describes Cs2AuBr6O after structural relaxation. The functional is PBE-GGA.

abc: 7.282 7.282 7.800
angles: 62.17 62.17 90.00
Element x y z (fractional)
1 Cs 0.750 0.250 0.500
2 Cs 0.250 0.750 0.500
3 Au 0.000 0.000 0.000
4 O 0.500 0.500 0.000
5 Br 0.213 0.213 0.574
6 Br 0.787 0.787 0.426
7 Br 0.271 0.271 0.000
8 Br 0.729 0.729 0.000
9 Br 0.729 0.271 0.000
10 Br 0.271 0.729 0.000

* magnetic moment: 0.00 μB per atom
* DOS(E_F): 3.0 states/eV per cell
* energy: -2.63 eV/atom


This record from the Alexandria database describes SrCrRe2 after structural relaxation. The functional is PBE-GGA.

abc: 3.084 3.084 7.737
angles: 90.00 90.00 90.00
Element x y z (fractional)
1 Cr 0.500 0.500 0.750
2 Re 0.000 0.000 0.921
3 Re 0.000 0.000 0.579
4 Sr 0.500 0.500 0.250

* magnetic moment: 0.00 μB per atom
* DOS(E_F): 3.7 states/eV per cell
* energy: -8.37 eV/atom
* ΔH_f (0 K): 0.678 eV/atom


This record from the Alexandria database describes Ho5Ge2Sb after structural relaxation. The functional is PBE-GGA.

abc: 7.863 7.863 8.665
angles: 116.98 116.98 90.00
Element x y z (fractional)
1 Ho 0.512 0.704 0.716
2 Ho 0.796 0.988 0.284
3 Ho 0.000 0.000 0.000
4 Ho 0.500 0.500 0.000
5 Ho 0.204 0.012 0.716
6 Ho 0.704 0.204 0.716
7 Ho 0.012 0.512 0.716
8 Ho 0.296 0.796 0.284
9 Ho 0.988 0.488 0.284
10 Ho 0.488 0.296 0.284
11 Ge 0.149 0.351 0.000
12 Ge 0.649 0.149 0.000
13 Ge 0.351 0.851 0.000
14 Ge 0.851 0.649 0.000
15 Sb 0.750 0.750 0.500
16 Sb 0.250 0.250 0.500

* magnetic moment: 0.02 μB per atom
* DOS(E_F): 19.2 states/eV per cell
* energy: -5.32 eV/atom


This record from the Alexandria database describes ScIrAu3 after structural relaxation. The functional is PBE-GGA.

abc: 5.004 5.004 5.004
angles: 90.00 90.00 90.00
Last column: magnetic moment on the atom in μB.
Element x y z (fractional)
1 Sc 0.500 0.500 0.500  0.39
2 Ir 0.000 0.000 0.000  -0.20
3 Au 0.000 0.500 0.000  -0.01
4 Au 0.000 0.000 0.500  -0.03
5 Au 0.500 0.000 0.000  0.00

* magnetic moment: 0.06 μB per atom
* DOS(E_F): 7.2 states/eV per cell
* energy: -4.36 eV/atom
* ΔH_f (0 K): 0.649 eV/atom


This record from the Alexandria database describes NpAlZn11 after structural relaxation. The functional is PBE-GGA.

abc: 5.269 6.806 6.832
angles: 81.31 67.32 66.93
Last column: magnetic moment on the atom in μB.
Element x y z (fractional)
1 Np 0.000 0.000 0.000  3.98
2 Al 0.500 0.500 0.000  0.00
3 Zn 0.281 0.214 0.217  0.01
4 Zn 0.719 0.786 0.783  0.01
5 Zn 0.501 0.786 0.217  0.01
6 Zn 0.499 0.214 0.783  0.01
7 Zn 0.353 0.647 0.646  0.01
8 Zn 0.647 0.353 0.354  0.01
9 Zn 0.001 0.353 0.646  0.01
10 Zn 0.999 0.647 0.354  0.01
11 Zn 0.000 0.500 0.000  0.00
12 Zn 0.500 0.000 0.500  0.01
13 Zn 0.000 0.000 0.500  0.01

* magnetic moment: 0.34 μB per atom
* DOS(E_F): 10.4 states/eV per cell
* energy: -2.41 eV/atom
* ΔH_f (0 K): -0.046 eV/atom